Entry 1:
Compound: MgZrNi
Source: Alexandria via LeMat-Bulk
Functional: PBE
Structure: optimized geometry

abc: 6.162 6.162 6.162
angles: 90.00 90.00 90.00
Space group F-43m (No. 216)
Inequivalent atoms, fractional coordinates:
Mg 0.000 0.000 0.000 x4
Zr 0.000 0.000 0.500 x4
Ni 0.250 0.250 0.750 x4

Summary:
Volume = 19.50 A^3/atom


Entry 2:
Compound: MgZrNi
Source: Alexandria via LeMat-Bulk
Functional: PBE
Structure: optimized geometry

abc: 3.068 3.068 11.471
angles: 90.00 90.00 90.00
Space group I4mm (No. 107)
Inequivalent atoms, fractional coordinates:
Mg 0.000 0.000 0.000 x2
Zr 0.000 0.000 0.717 x2
Ni 0.000 0.000 0.357 x2

Summary:
Volume = 18.00 A^3/atom


| no. | ΔE_f (meV/atom) |
| --- | --- |
| 1 | -22 |
| 2 | -160 |